[1]
A relaxed TaFeRe2 crystal, computed with PBE.

It has space group R-3m (No. 166, hexagonal axes), with a = 2.7463 Å, b = 2.7463 Å, c = 27.3628 Å, α = 90.00°, β = 90.00° and γ = 120.00°. The asymmetric unit holds Ta at (0.0000, 0.0000, 0.0000), Fe at (0.0000, 0.0000, 0.5000) and Re at (0.0000, 0.0000, 0.2409).

The value obtained for the formation energy from the elements is 0.91 eV/f.u. The crystal system is trigonal.

---

[2]
A relaxed Tl3Sn2Hg2Pb4 crystal, computed with PBE.

It has space group P-3m1 (No. 164), with a = 5.4601 Å, b = 5.4601 Å, c = 13.2154 Å, α = 90.00°, β = 90.00° and γ = 120.00°. The asymmetric unit holds Tl at (0.0000, 0.0000, 0.0000), Tl at (0.0000, 0.0000, 0.2650), Sn at (0.3333, 0.6667, 0.6491), Hg at (0.3333, 0.6667, 0.1482), Pb at (0.3333, 0.6667, 0.4114) and Pb at (0.3333, 0.6667, 0.8904).

The value obtained for the formation energy from the elements is 0.37 eV/f.u. The crystal system is trigonal.

---

[3]
A relaxed Mg2TlGe crystal, computed with PBE.

It has space group P4/mmm (No. 123), with a = 4.748 Å, b = 4.748 Å, c = 3.917 Å, α = 90.00°, β = 90.00° and γ = 90.00°. The asymmetric unit holds Mg at (0.000, 0.500, 0.000), Tl at (0.000, 0.000, 0.500) and Ge at (0.500, 0.500, 0.500).

The value obtained for the formation energy from the elements is -0.13 eV/f.u. The crystal system is tetragonal.

---

[4]
A relaxed ZrTl2IO6 crystal, computed with PBE.

It has space group R-3m (No. 166, hexagonal axes), with a = 6.2128 Å, b = 6.2128 Å, c = 29.9419 Å, α = 90.00°, β = 90.00° and γ = 120.00°. The asymmetric unit holds Zr at (0.0000, 0.0000, 0.1002), Tl at (0.0000, 0.0000, 0.2309), Tl at (0.0000, 0.0000, 0.3685), I at (0.0000, 0.0000, 0.0000), I at (0.0000, 0.0000, 0.5000), O at (0.0096, 0.5048, 0.2064) and O at (0.0558, 0.5279, 0.6266).

The crystal system is trigonal. The uncorrected formation energy comes out at -1.272 eV per atom.

---

no.,density of states at the Fermi level (states/eV per cell),total energy (eV per atom),total moment (μB/cell)
1,14.68,-11.076,0.00
2,3.12,-2.743,0.00
3,1.29,-2.575,0.00
4,0.00,-5.730,0.00